The following is a DFT calculation (GGA-PBE) of a relaxed structure of Nd4SiO.

abc: 6.4414 6.9769 8.2727
angles: 108.86 106.42 104.64
Fractional positions:
Nd  0.9710  0.1870  0.9065
Nd  0.8060  0.6499  0.5883
Nd  0.4356  0.7195  0.9065
Nd  0.2823  0.9384  0.5883
Nd  0.7177  0.0616  0.4117
Nd  0.5644  0.2805  0.0935
Nd  0.1940  0.3501  0.4117
Nd  0.0290  0.8130  0.0935
Si  0.3649  0.6149  0.2298
Si  0.6351  0.3851  0.7702
O  0.1867  0.9367  0.8734
O  0.8133  0.0633  0.1266

Properties
Volume   312.3 Å³/cell
SG   C2/c (15)
Uncorrected formation energy   -6.4 eV/f.u.